1.
# LaInFe | the Alexandria database | PBE | optimized geometry
data_LaInFe
_chemical_formula_sum 'La2 In2 Fe2'
_cell_length_a 3.419
_cell_length_b 3.419
_cell_length_c 11.867
_cell_angle_alpha 90.00
_cell_angle_beta 90.00
_cell_angle_gamma 90.00
_symmetry_space_group_name_H-M 'I 4 m m'
_symmetry_Int_Tables_number 107
_symmetry_space_group_name_Hall 'I 4 -2'
loop_
_atom_site_label
_atom_site_type_symbol
_atom_site_fract_x
_atom_site_fract_y
_atom_site_fract_z
_atom_site_occupancy
La1 La 0.000 0.000 0.000 1
In1 In 0.000 0.000 0.719 1
Fe1 Fe 0.000 0.000 0.332 1
# Total moment = 2.0 μB per formula unit
# E_form = 68 meV per atom

2.
# La2InFe | the Alexandria database | PBE | optimized geometry
data_La2InFe
_chemical_formula_sum 'La4 In2 Fe2'
_cell_length_a 6.756
_cell_length_b 3.970
_cell_length_c 8.872
_cell_angle_alpha 90.00
_cell_angle_beta 105.56
_cell_angle_gamma 90.00
_symmetry_space_group_name_H-M 'C 1 2/m 1'
_symmetry_Int_Tables_number 12
_symmetry_space_group_name_Hall '-C 2y'
loop_
_atom_site_label
_atom_site_type_symbol
_atom_site_fract_x
_atom_site_fract_y
_atom_site_fract_z
_atom_site_occupancy
La1 La 0.227 0.000 0.188 1
In1 In 0.000 0.000 0.500 1
Fe1 Fe 0.000 0.500 0.000 1
# Total moment = 0.5 μB per formula unit
# E_form = 62 meV per atom

3.
# La2InFe | the Alexandria database | PBE | optimized geometry
data_La2InFe
_chemical_formula_sum 'La8 In4 Fe4'
_cell_length_a 7.311
_cell_length_b 7.311
_cell_length_c 7.311
_cell_angle_alpha 90.00
_cell_angle_beta 90.00
_cell_angle_gamma 90.00
_symmetry_space_group_name_H-M 'F -4 3 m'
_symmetry_Int_Tables_number 216
_symmetry_space_group_name_Hall 'F -4 2 3'
loop_
_atom_site_label
_atom_site_type_symbol
_atom_site_fract_x
_atom_site_fract_y
_atom_site_fract_z
_atom_site_occupancy
La1 La 0.000 0.000 0.000 1
La2 La 0.250 0.250 0.250 1
In1 In 0.250 0.250 0.750 1
Fe1 Fe 0.000 0.000 0.500 1
# Total moment = 1.0 μB per formula unit
# E_form = 83 meV per atom

4.
# La4In2Fe | the Alexandria database | PBE | optimized geometry
data_La4In2Fe
_chemical_formula_sum 'La8 In4 Fe2'
_cell_length_a 5.141
_cell_length_b 5.141
_cell_length_c 16.850
_cell_angle_alpha 90.00
_cell_angle_beta 90.00
_cell_angle_gamma 90.00
_symmetry_space_group_name_H-M 'I 4/m m m'
_symmetry_Int_Tables_number 139
_symmetry_space_group_name_Hall '-I 4 2'
loop_
_atom_site_label
_atom_site_type_symbol
_atom_site_fract_x
_atom_site_fract_y
_atom_site_fract_z
_atom_site_occupancy
La1 La 0.000 0.000 0.172 1
La2 La 0.000 0.500 0.000 1
In1 In 0.000 0.000 0.363 1
Fe1 Fe 0.000 0.000 0.000 1
# Total moment = 0.0 μB per formula unit
# E_form = -195 meV per atom